The following is a DFT calculation (meta-GGA SCAN) of a crystal of TaWO2 relaxed with PBEsol.

## Properties
V in Å³/atom: 11.75
Crystal system: trigonal
ΔE_f (raw) in eV per formula unit: -4.701

a b c (Å): 7.1927 7.1927 7.1927
angles (deg): 22.31 22.31 22.31
Fractional coordinates of all 4 atoms:
Ta  0.0000  0.0000  0.0000
W  0.5000  0.5000  0.5000
O  0.0997  0.0997  0.0997
O  0.9003  0.9003  0.9003

The following is a DFT calculation (meta-GGA SCAN) of a crystal of LiTi2Al relaxed with PBEsol.

## Properties
V in Å³/atom: 15.81
Crystal system: tetragonal
Energy of formation in eV per formula unit: 1.3

a b c (Å): 5.6321 5.6321 5.6321
angles (deg): 101.06 101.06 128.04
Fractional coordinates of all 8 atoms:
Li  0.0000  0.0000  0.0000
Li  0.7500  0.2500  0.5000
Ti  0.1135  0.1250  0.4885
Ti  0.3750  0.8865  0.0115
Ti  0.6365  0.6250  0.5115
Ti  0.8750  0.3635  0.9885
Al  0.2500  0.7500  0.5000
Al  0.5000  0.5000  0.0000

The following is a DFT calculation (meta-GGA SCAN) of a crystal of ReMoAs2 relaxed with PBEsol.

## Properties
V in Å³/atom: 15.55
Crystal system: monoclinic
Energy of formation in eV per formula unit: 2.0
Energy above the most stable polymorph in this dataset in eV/f.u.: 1.46

a b c (Å): 2.9526 3.9614 5.3212
angles (deg): 90.00 92.14 90.00
Fractional coordinates of all 4 atoms:
Re  0.0000  0.0000  0.0000
Mo  0.5000  0.0000  0.5000
As  0.1348  0.5000  0.7384
As  0.8652  0.5000  0.2616